# Be2CdWS PBE relaxed
# Total energy, hartree per atom: -0.140
# V, A^3/atom: 16.94
# Mass density, Mg/m³: 6.8
data_Be2CdWS
_cell_length_a 4.0243
_cell_length_b 4.0243
_cell_length_c 5.2293
_cell_angle_alpha 90.00
_cell_angle_beta 90.00
_cell_angle_gamma 90.00
_symmetry_space_group_name_H-M 'P 4/m m m'
_symmetry_Int_Tables_number 123
_symmetry_space_group_name_Hall '-P 4 2'
loop_
_atom_site_label
_atom_site_type_symbol
_atom_site_fract_x
_atom_site_fract_y
_atom_site_fract_z
Be1 Be 0.0000 0.5000 0.0000
Cd1 Cd 0.0000 0.0000 0.5000
W1 W 0.5000 0.5000 0.5000
S1 S 0.0000 0.0000 0.0000